(1)
Material: Gd2AlHg5
Method: DFT, PBE
State: optimized geometry

Output
- calculated density (g/cm3) = 11.9
- total moment (μB per formula unit) = 0.0
- E_tot (eV per atom) = -2.1586

a = 4.925 Å, b = 6.672 Å, c = 11.465 Å
α = 90.00°, β = 90.00°, γ = 90.00°
Fractional positions:
Gd  0.000  0.000  0.000
Gd  0.000  0.500  0.500
Gd  0.500  0.000  0.330
Gd  0.500  0.500  0.830
Al  0.500  0.000  0.815
Al  0.500  0.500  0.315
Hg  0.000  0.000  0.501
Hg  0.000  0.238  0.755
Hg  0.000  0.262  0.255
Hg  0.000  0.500  0.001
Hg  0.000  0.738  0.255
Hg  0.000  0.762  0.755
Hg  0.500  0.249  0.583
Hg  0.500  0.251  0.083
Hg  0.500  0.749  0.083
Hg  0.500  0.751  0.583

=====

(2)
Material: Gd2Al3Hg3
Method: DFT, PBE
State: optimized geometry

Output
- E above lowest polymorph (meV per atom) = 15
- calculated density (g/cm3) = 9.4
- total moment (μB per formula unit) = 0.0

a = 6.461 Å, b = 4.810 Å, c = 6.478 Å
α = 90.00°, β = 118.67°, γ = 90.00°
Fractional positions:
Gd  0.000  0.000  0.000
Gd  0.326  0.500  0.675
Al  0.373  0.500  0.198
Al  0.819  0.500  0.639
Al  0.967  0.000  0.498
Hg  0.494  0.000  0.016
Hg  0.504  0.000  0.505
Hg  0.844  0.500  0.191

=====

(3)
Material: Gd2Al3Hg3
Method: DFT, PBE
State: optimized geometry

Output
- E above lowest polymorph (meV per atom) = 0
- calculated density (g/cm3) = 9.3
- total moment (μB per formula unit) = 0.0

a = 6.627 Å, b = 6.627 Å, c = 4.678 Å
α = 90.00°, β = 90.00°, γ = 120.00°
Fractional positions:
Gd  0.000  0.000  0.000
Gd  0.333  0.667  0.500
Al  0.380  0.190  0.500
Al  0.810  0.190  0.500
Al  0.810  0.620  0.500
Hg  0.507  0.013  0.000
Hg  0.507  0.493  0.000
Hg  0.987  0.493  0.000

=====

(4)
Material: Gd3Mg3Al2Hg
Method: DFT, PBE
State: optimized geometry

Output
- calculated density (g/cm3) = 6.1
- total moment (μB per formula unit) = 0.0
- E_tot (eV per atom) = -3.3068

a = 7.452 Å, b = 7.452 Å, c = 4.552 Å
α = 90.00°, β = 90.00°, γ = 120.00°
Fractional positions:
Gd  0.000  0.577  0.000
Gd  0.423  0.423  0.000
Gd  0.577  0.000  0.000
Mg  0.000  0.245  0.500
Mg  0.245  0.000  0.500
Mg  0.755  0.755  0.500
Al  0.333  0.667  0.500
Al  0.667  0.333  0.500
Hg  0.000  0.000  0.000

=====

(5)
Material: Gd3Mg3AlHg2
Method: DFT, PBE
State: optimized geometry

Output
- calculated density (g/cm3) = 7.3
- total moment (μB per formula unit) = 0.0
- E_tot (eV per atom) = -2.9066

a = 7.486 Å, b = 7.486 Å, c = 4.579 Å
α = 90.00°, β = 90.00°, γ = 120.00°
Fractional positions:
Gd  0.000  0.579  0.000
Gd  0.421  0.421  0.000
Gd  0.579  0.000  0.000
Mg  0.000  0.240  0.500
Mg  0.240  0.000  0.500
Mg  0.760  0.760  0.500
Al  0.000  0.000  0.000
Hg  0.333  0.667  0.500
Hg  0.667  0.333  0.500

=====

(6)
Material: Gd2Ho2Al
Method: DFT, PBE
State: optimized geometry

Output
- calculated density (g/cm3) = 7.4
- total moment (μB per formula unit) = 0.1
- E_tot (eV per atom) = -4.4734

a = 3.660 Å, b = 7.932 Å, c = 10.364 Å
α = 90.00°, β = 90.00°, γ = 90.00°
Fractional positions:
Gd  0.000  0.000  0.248
Gd  0.000  0.000  0.752
Gd  0.500  0.500  0.252
Gd  0.500  0.500  0.748
Ho  0.000  0.300  0.000
Ho  0.000  0.700  0.000
Ho  0.500  0.200  0.500
Ho  0.500  0.800  0.500
Al  0.000  0.500  0.500
Al  0.500  0.000  0.000

=====

(7)
Material: GdHoAl2
Method: DFT, PBE
State: optimized geometry

Output
- calculated density (g/cm3) = 6.1
- total moment (μB per formula unit) = 0.1
- E_tot (eV per atom) = -4.5562

a = 4.145 Å, b = 4.444 Å, c = 11.171 Å
α = 90.00°, β = 90.00°, γ = 90.00°
Fractional positions:
Gd  0.000  0.000  0.000
Gd  0.000  0.500  0.500
Ho  0.500  0.000  0.720
Ho  0.500  0.500  0.220
Al  0.000  0.000  0.285
Al  0.000  0.500  0.785
Al  0.500  0.000  0.433
Al  0.500  0.500  0.933

=====

(8)
Material: GdHoAl
Method: DFT, PBE
State: optimized geometry

Output
- E above lowest polymorph (meV per atom) = 0
- calculated density (g/cm3) = 7.3
- total moment (μB per formula unit) = 0.0

a = 6.556 Å, b = 5.110 Å, c = 9.502 Å
α = 90.00°, β = 90.00°, γ = 90.00°
Fractional positions:
Gd  0.190  0.250  0.074
Gd  0.310  0.750  0.574
Gd  0.690  0.250  0.426
Gd  0.810  0.750  0.926
Ho  0.027  0.250  0.710
Ho  0.473  0.750  0.210
Ho  0.527  0.250  0.790
Ho  0.973  0.750  0.290
Al  0.206  0.250  0.397
Al  0.294  0.750  0.897
Al  0.706  0.250  0.103
Al  0.794  0.750  0.603

=====

(9)
Material: GdHoAl
Method: DFT, PBE
State: optimized geometry

Output
- E above lowest polymorph (meV per atom) = 802
- calculated density (g/cm3) = 6.3
- total moment (μB per formula unit) = 0.1

a = 7.166 Å, b = 7.166 Å, c = 7.166 Å
α = 90.00°, β = 90.00°, γ = 90.00°
Fractional positions:
Gd  0.000  0.000  0.000
Gd  0.000  0.500  0.500
Gd  0.500  0.000  0.500
Gd  0.500  0.500  0.000
Ho  0.250  0.250  0.250
Ho  0.250  0.750  0.750
Ho  0.750  0.250  0.750
Ho  0.750  0.750  0.250
Al  0.000  0.000  0.500
Al  0.000  0.500  0.000
Al  0.500  0.000  0.000
Al  0.500  0.500  0.500

=====

(10)
Material: Gd2HoMg3Al2In
Method: DFT, PBE
State: optimized geometry

Output
- calculated density (g/cm3) = 5.4
- total moment (μB per formula unit) = 0.0
- E_tot (eV per atom) = -3.5411

a = 4.612 Å, b = 7.409 Å, c = 7.409 Å
α = 119.71°, β = 90.00°, γ = 90.00°
Fractional positions:
Gd  0.000  0.218  0.782
Gd  0.000  0.782  0.218
Ho  0.000  0.344  0.344
Mg  0.500  0.027  0.027
Mg  0.500  0.535  0.781
Mg  0.500  0.781  0.535
Al  0.500  0.116  0.447
Al  0.500  0.447  0.116
In  0.000  0.779  0.779

=====

(11)
Material: GdHoAl2Ir4
Method: DFT, PBE
State: optimized geometry

Output
- calculated density (g/cm3) = 12.9
- total moment (μB per formula unit) = 0.0
- E_tot (eV per atom) = -7.2191

a = 4.292 Å, b = 4.292 Å, c = 9.208 Å
α = 90.00°, β = 90.00°, γ = 120.00°
Fractional positions:
Gd  0.000  0.000  0.000
Ho  0.333  0.667  0.500
Al  0.667  0.333  0.256
Al  0.667  0.333  0.744
Ir  0.000  0.000  0.342
Ir  0.000  0.000  0.658
Ir  0.333  0.667  0.173
Ir  0.333  0.667  0.827

=====

(12)
Material: Gd2HoAl3Si2Ir
Method: DFT, PBE
State: optimized geometry

Output
- calculated density (g/cm3) = 7.6
- total moment (μB per formula unit) = 0.0
- E_tot (eV per atom) = -5.8339

a = 4.232 Å, b = 6.938 Å, c = 6.938 Å
α = 119.89°, β = 90.00°, γ = 90.00°
Fractional positions:
Gd  0.000  0.208  0.792
Gd  0.000  0.792  0.208
Ho  0.000  0.623  0.623
Al  0.500  0.210  0.441
Al  0.500  0.441  0.210
Al  0.500  0.976  0.976
Si  0.500  0.543  0.873
Si  0.500  0.873  0.543
Ir  0.000  0.212  0.212

=====

| no. | calculated volume (A^3/atom) |
| --- | --- |
| 1 | 23.55 |
| 2 | 22.08 |
| 3 | 22.24 |
| 4 | 24.32 |
| 5 | 24.69 |
| 6 | 30.09 |
| 7 | 25.72 |
| 8 | 26.52 |
| 9 | 30.66 |
| 10 | 24.43 |
| 11 | 18.36 |
| 12 | 19.62 |